DFT (PBE+U) results for a geometry-optimized BaVAs2O8 structure.

Cell: 8.750 8.750 8.750 Å, 32.91 32.91 32.91°
Positions (direct):
Ba1 0.000 0.000 0.000
V1 0.500 0.500 0.500
As1 0.238 0.238 0.238
As2 0.762 0.762 0.762
O1 0.134 0.469 0.743
O2 0.257 0.531 0.866
O3 0.306 0.306 0.306
O4 0.469 0.743 0.134
O5 0.531 0.866 0.257
O6 0.694 0.694 0.694
O7 0.743 0.134 0.469
O8 0.866 0.257 0.531

Properties
* calculated total energy: -6.5252 eV per atom
* SG: R32, No. 155
* crystal system: trigonal